Material: Nd6DyTl2
Method: DFT, PBE
State: relaxed

The uncorrected energy comes out at -4.367 eV/atom. As for the magnetic moment: 0.00 μB per cell. Its formation energy is -151 meV per atom.

The space group is C2/m (No. 12) and the conventional cell measures 13.196, 3.839 and 12.212 Å, with angles of 90.00, 108.03 and 90.00 degrees. The inequivalent atoms are Nd at (0.016, 0.000, 0.343), Nd at (0.183, 0.500, 0.876), Nd at (0.194, 0.500, 0.591), Dy at (0.000, 0.000, 0.000) and Tl at (0.136, 0.500, 0.196).